[1]
In2TeSe: optimized geometry, PBE-GGA.

Total magnetization, μB per formula unit: 0.0
Calculated total energy, eV/atom: -3.0267

Cell lengths 4.569, 4.467, 7.056 Å; angles 50.52, 90.00, 90.00 degrees
Sites, in units of the cell vectors:
1 In 0.000 0.000 0.000
2 Te 0.000 0.000 0.500
3 In 0.500 0.500 0.000
4 Se 0.500 0.500 0.500



[2]
In3TeSe: optimized geometry, PBE-GGA.

Total magnetization, μB per formula unit: 0.0
Calculated total energy, eV/atom: -2.8797

Cell lengths 5.642, 5.642, 5.642 Å; angles 90.00, 90.00, 90.00 degrees
Sites, in units of the cell vectors:
1 In 0.000 0.000 0.500
2 Se 0.000 0.000 0.000
3 In 0.500 0.000 0.000
4 In 0.000 0.500 0.000
5 Te 0.500 0.500 0.500



[3]
In2Te2Se: optimized geometry, PBE-GGA.

Total magnetization, μB per formula unit: 0.0
Calculated total energy, eV/atom: -3.0302

Cell lengths 8.287, 8.287, 4.026 Å; angles 90.00, 90.00, 90.00 degrees
Sites, in units of the cell vectors:
1 Te 0.648 0.852 0.500
2 Te 0.852 0.352 0.500
3 Se 0.000 0.000 0.000
4 Te 0.352 0.148 0.500
5 In 0.336 0.836 0.000
6 Te 0.148 0.648 0.500
7 In 0.164 0.336 0.000
8 Se 0.500 0.500 0.000
9 In 0.664 0.164 0.000
10 In 0.836 0.664 0.000



So what do the calculations give for ΔE to the lowest computed polymorph? Going down the list: 136; 158; 181 kJ/mol of formula units.
So what do the calculations give for V? Going down the list: 27.789; 35.910; 27.647 Å³ per atom.
So what do the calculations give for energy relative to the elements, uncorrected? Going down the list: -1; 89; 19 meV per atom.